VASP calculation (PBE-GGA) on crystalline Tb2Nd6Tm3Mg at its relaxed geometry.

Cell: 6.2193 6.2193 11.7622 Å, 95.07 95.07 120.04°
Last column: nearest neighbours and their distance in Å.
Atoms (fractional coordinates):
Tb (0.3334, 0.6666, 0.0000)  6 Nd 3.57-3.58, 3 Mg 3.59, 3 Tb 3.59
Tb (0.6666, 0.3334, 0.0000)  6 Nd 3.57-3.58, 3 Mg 3.59, 3 Tb 3.59
Nd (0.9169, 0.5846, 0.7492)  3 Tm 3.55-3.56, 1 Mg 3.56, 2 Tb 3.57, 6 Nd 3.58-3.60
Nd (0.7509, 0.7509, 0.2518)  3 Tm 3.54, 1 Mg 3.58, 2 Tb 3.58, 6 Nd 3.58-3.60
Nd (0.0831, 0.4154, 0.2508)  3 Tm 3.55-3.56, 1 Mg 3.56, 2 Tb 3.57, 6 Nd 3.58-3.60
Nd (0.5846, 0.9169, 0.7492)  3 Tm 3.55-3.56, 1 Mg 3.56, 2 Tb 3.57, 6 Nd 3.58-3.60
Nd (0.2491, 0.2491, 0.7482)  3 Tm 3.54, 1 Mg 3.58, 2 Tb 3.58, 6 Nd 3.58-3.60
Nd (0.4154, 0.0831, 0.2508)  3 Tm 3.55-3.56, 1 Mg 3.56, 2 Tb 3.57, 6 Nd 3.58-3.60
Tm (0.1664, 0.8336, 0.5000)  6 Nd 3.54-3.56, 6 Tm 3.59
Tm (0.8336, 0.1664, 0.5000)  6 Nd 3.54-3.56, 6 Tm 3.59
Tm (0.5000, 0.5000, 0.5000)  6 Nd 3.54-3.55, 6 Tm 3.59
Mg (0.0000, 0.0000, 0.0000)  6 Nd 3.56-3.58, 6 Tb 3.59

Properties
**DOS(E_F)**: 11.8 states/eV/f.u.
**DFT formation energy**: 20 meV per atom